This record from Alexandria via LeMat-Bulk describes a geometry-optimized Na3InCl4 structure. The functional is PBE-GGA.

The space group is Pmmn (No. 59, origin choice 2) and the conventional cell measures 5.967, 9.849 and 8.557 Å, with angles of 90.00, 90.00 and 90.00 degrees. The asymmetric unit holds Na at (0.250, 0.001, 0.164), Na at (0.250, 0.250, 0.675), In at (0.250, 0.750, 0.665), Cl at (0.250, 0.019, 0.847), Cl at (0.250, 0.250, 0.341) and Cl at (0.250, 0.750, 0.304).

The calculation puts the formation energy without anion corrections at -1497 meV/atom. For the calculated density, the calculation gives 2.15 g cm⁻³. The energy above the most stable polymorph in this dataset is 0.266 eV per formula unit. For the total energy, the calculation gives -52.12 eV per cell. Its magnetic moment is 0.00 μB per formula unit.